Record 1
Here is Ca2ZrGeO6 after structural relaxation from Alexandria via LeMat-Bulk. Energies are from PBE.

Cell lengths 4.736, 5.361, 5.361 Å; angles 90.00, 90.00, 90.00 degrees
Element x y z (fractional)
1 Ca 0.016 0.500 0.000
2 Ca 0.016 0.000 0.500
3 Zr 0.586 0.500 0.500
4 Ge 0.594 0.000 0.000
5 O 0.711 0.238 0.238
6 O 0.711 0.238 0.762
7 O 0.171 0.500 0.500
8 O 0.221 0.000 0.000
9 O 0.711 0.762 0.762
10 O 0.711 0.762 0.238

Output
SG: No. 99
E: -7.3682 eV per atom

=====

Record 2
Here is CaZrGe2O8 after structural relaxation from Alexandria via LeMat-Bulk. Energies are from PBE.

Cell lengths 5.041, 5.041, 6.558 Å; angles 112.60, 112.60, 90.00 degrees
Element x y z (fractional)
1 Ca 0.000 0.000 0.000
2 Zr 0.750 0.250 0.500
3 Ge 0.500 0.500 0.000
4 Ge 0.250 0.750 0.500
5 O 0.734 0.848 0.178
6 O 0.443 0.330 0.178
7 O 0.586 0.652 0.653
8 O 0.067 0.000 0.653
9 O 0.000 0.414 0.347
10 O 0.348 0.933 0.347
11 O 0.152 0.557 0.822
12 O 0.670 0.266 0.822

Output
SG: No. 82
E: -6.9808 eV per atom

=====

Record 3
Here is CaGe3Os after structural relaxation from Alexandria via LeMat-Bulk. Energies are from PBE.

Cell lengths 5.015, 5.015, 5.015 Å; angles 90.00, 90.00, 90.00 degrees
Element x y z (fractional)
1 Ge 0.000 0.500 0.000
2 Ge 0.000 0.000 0.500
3 Ge 0.500 0.000 0.000
4 Os 0.500 0.500 0.500
5 Ca 0.000 0.000 0.000

Output
E_form: 2.088 eV per atom
SG: No. 221

=====

Record 4
Here is Ca3GeOs after structural relaxation from Alexandria via LeMat-Bulk. Energies are from PBE.

Cell lengths 5.414, 5.414, 5.414 Å; angles 90.00, 90.00, 90.00 degrees
Element x y z (fractional)
1 Ge 0.500 0.500 0.500
2 Os 0.000 0.000 0.000
3 Ca 0.000 0.500 0.000
4 Ca 0.000 0.000 0.500
5 Ca 0.500 0.000 0.000

Output
E_form: 0.452 eV per atom
SG: No. 221
Energy relative to the lowest polymorph listed for this composition: 0 meV/atom

=====

Record 5
Here is CaGe3Os after structural relaxation from Alexandria via LeMat-Bulk. Energies are from PBE.

Cell lengths 5.936, 6.085, 6.124 Å; angles 119.79, 89.99, 90.00 degrees
Element x y z (fractional)
1 Ca 0.250 0.338 0.675
2 Ca 0.750 0.662 0.325
3 Ge 0.750 0.613 0.802
4 Ge 0.750 0.190 0.802
5 Ge 0.250 0.808 0.615
6 Ge 0.750 0.192 0.385
7 Ge 0.250 0.810 0.198
8 Ge 0.250 0.387 0.198
9 Os 0.000 0.000 0.000
10 Os 0.500 0.000 0.000

Output
E_form: -0.238 eV per atom
SG: No. 63

=====

Record 6
Here is CaGe2Os2 after structural relaxation from Alexandria via LeMat-Bulk. Energies are from PBE.

Cell lengths 7.478, 7.478, 2.952 Å; angles 90.00, 90.00, 90.00 degrees
Element x y z (fractional)
1 Ge 0.356 0.856 0.000
2 Ge 0.856 0.644 0.000
3 Ge 0.644 0.144 0.000
4 Ge 0.144 0.356 0.000
5 Os 0.148 0.648 0.500
6 Os 0.648 0.852 0.500
7 Os 0.852 0.352 0.500
8 Os 0.352 0.148 0.500
9 Ca 0.000 0.000 0.000
10 Ca 0.500 0.500 0.000

Output
E_form: 0.019 eV per atom
SG: No. 127

=====

Record 7
Here is Ca2Ge2Os after structural relaxation from Alexandria via LeMat-Bulk. Energies are from PBE.

Cell lengths 4.029, 4.029, 6.939 Å; angles 73.12, 73.12, 90.00 degrees
Element x y z (fractional)
1 Ge 0.411 0.411 0.179
2 Ge 0.589 0.589 0.821
3 Os 0.000 0.000 0.000
4 Ca 0.750 0.250 0.500
5 Ca 0.250 0.750 0.500

Output
E_form: 0.692 eV per atom
SG: No. 139

=====

Record 8
Here is Ca2Ge2Os after structural relaxation from Alexandria via LeMat-Bulk. Energies are from PBE.

Cell lengths 6.700, 6.700, 4.620 Å; angles 90.00, 90.00, 90.00 degrees
Element x y z (fractional)
1 Ge 0.361 0.861 0.000
2 Ge 0.861 0.639 0.000
3 Ge 0.639 0.139 0.000
4 Ge 0.139 0.361 0.000
5 Os 0.000 0.000 0.000
6 Os 0.500 0.500 0.000
7 Ca 0.178 0.678 0.500
8 Ca 0.678 0.822 0.500
9 Ca 0.822 0.322 0.500
10 Ca 0.322 0.178 0.500

Output
E_form: -0.332 eV per atom
SG: No. 127

=====

Record 9
Here is CaGe3Os3 after structural relaxation from Alexandria via LeMat-Bulk. Energies are from PBE.

Cell lengths 6.768, 6.768, 6.768 Å; angles 90.00, 90.00, 90.00 degrees
Element x y z (fractional)
1 Ge 0.000 0.250 0.500
2 Ge 0.000 0.750 0.500
3 Ge 0.500 0.000 0.750
4 Ge 0.750 0.500 0.000
5 Ge 0.500 0.000 0.250
6 Ge 0.250 0.500 0.000
7 Os 0.250 0.000 0.500
8 Os 0.000 0.500 0.250
9 Os 0.500 0.750 0.000
10 Os 0.750 0.000 0.500
11 Os 0.000 0.500 0.750
12 Os 0.500 0.250 0.000
13 Ca 0.500 0.500 0.500
14 Ca 0.000 0.000 0.000

Output
E_form: 0.427 eV per atom
SG: No. 223

=====

Record 10
Here is CaGe3Os after structural relaxation from Alexandria via LeMat-Bulk. Energies are from PBE.

Cell lengths 4.871, 4.871, 4.871 Å; angles 90.00, 90.00, 90.00 degrees
Element x y z (fractional)
1 Ge 0.000 0.500 0.000
2 Ge 0.000 0.000 0.500
3 Ge 0.500 0.000 0.000
4 Os 0.000 0.000 0.000
5 Ca 0.500 0.500 0.500

Output
E_form: 0.167 eV per atom
SG: No. 221

=====

Record 11
Here is CaGe12Os4 after structural relaxation from Alexandria via LeMat-Bulk. Energies are from PBE.

Cell lengths 7.594, 7.594, 7.594 Å; angles 109.47, 109.47, 109.47 degrees
Element x y z (fractional)
1 Ca 0.000 0.000 0.000
2 Ge 0.843 0.341 0.184
3 Ge 0.341 0.499 0.157
4 Ge 0.816 0.157 0.659
5 Ge 0.341 0.184 0.843
6 Ge 0.184 0.843 0.341
7 Ge 0.659 0.501 0.843
8 Ge 0.499 0.157 0.341
9 Ge 0.501 0.843 0.659
10 Ge 0.659 0.816 0.157
11 Ge 0.843 0.659 0.501
12 Ge 0.157 0.341 0.499
13 Ge 0.157 0.659 0.816
14 Os 0.000 0.500 0.000
15 Os 0.500 0.000 0.000
16 Os 0.500 0.500 0.500
17 Os 0.000 0.000 0.500

Output
E_form: 0.154 eV per atom
SG: No. 204

=====

Record 12
Here is Ca2GePOs after structural relaxation from Alexandria via LeMat-Bulk. Energies are from PBE.

Cell lengths 5.406, 4.545, 5.406 Å; angles 90.00, 90.00, 90.00 degrees
Element x y z (fractional)
1 P 0.500 0.500 0.500
2 Ge 0.000 0.000 0.000
3 Os 0.000 0.500 0.000
4 Ca 0.000 0.000 0.500
5 Ca 0.500 0.000 0.000

Output
E_form: 0.393 eV per atom
SG: No. 123